VASP calculation (SCAN) on a PBEsol-optimized structure of HfTlSb2.

Geometry as extended XYZ:
```
8
Lattice="6.639 0.000 0.000 0.000 6.639 0.000 -3.320 -3.320 6.611" Properties=species:S:1:pos:R:3 pbc="T T T"
Sb 1.660 1.466 4.958
Sb -1.660 -1.466 4.958
Tl 0.000 0.000 0.000
Sb 1.854 4.980 1.653
Hf 3.320 0.000 3.305
Sb 4.786 1.660 1.653
Tl 0.000 3.320 3.305
Hf 3.320 3.320 0.000
```

Calculated values
For the formation energy without anion corrections, the calculation gives 0.1378 eV per atom. The density of states at the Fermi level comes out at 6.4 states/eV per cell. The space group is I-42d (122). As for the crystal system: tetragonal. As for the size of the total moment: 0.000 μB per atom.



VASP calculation (SCAN) on a PBEsol-optimized structure of Al3AgTe.

Geometry as extended XYZ:
```
5
Lattice="-4.230 1.220 2.096 -2.335 -3.185 -2.860 0.653 -3.485 3.347" Properties=species:S:1:pos:R:3 pbc="T T T"
Al -1.168 -1.592 -1.430
Al -2.115 0.610 1.048
Ag 0.000 0.000 0.000
Al 0.327 -1.742 1.674
Te -2.956 -2.725 1.292
```

Calculated values
For the formation energy without anion corrections, the calculation gives 0.2507 eV per atom. The density of states at the Fermi level comes out at 1.4 states/eV per cell. The space group is Pm-3m (221). As for the crystal system: cubic. As for the size of the total moment: 0.000 μB per atom.



VASP calculation (SCAN) on a PBEsol-optimized structure of YCd2In.

Geometry as extended XYZ:
```
4
Lattice="-2.581 -0.127 -3.762 -3.751 -0.295 2.584 2.861 4.623 0.650" Properties=species:S:1:pos:R:3 pbc="T T T"
In 0.000 0.000 0.000
Y -3.166 -0.211 -0.589
Cd -2.028 2.059 1.322
Cd -1.443 2.143 -1.851
```

Calculated values
The density of states at the Fermi level comes out at 1.9 states/eV per cell. The value obtained for the formation energy is -0.3486 eV per atom. The space group is I4/mmm (139). As for the crystal system: tetragonal. As for the size of the total moment: 0.000 μB per atom.



VASP calculation (SCAN) on a PBEsol-optimized structure of La2TlSi.

Geometry as extended XYZ:
```
4
Lattice="-1.978 -1.835 3.314 2.036 -2.937 2.344 2.763 4.157 6.706" Properties=species:S:1:pos:R:3 pbc="T T T"
Si 0.000 0.000 0.000
La 0.593 -0.389 2.894
Tl 1.410 -0.307 6.182
La 2.227 -0.226 9.470
```

Calculated values
For the formation energy without anion corrections, the calculation gives -0.5258 eV per atom. The density of states at the Fermi level comes out at 4.9 states/eV per cell. The space group is R-3m (166). As for the crystal system: trigonal. As for the size of the total moment: 0.000 μB per atom.



VASP calculation (SCAN) on a PBEsol-optimized structure of BaBi2Br.

Geometry as extended XYZ:
```
8
Lattice="4.588 0.000 0.000 0.000 4.588 0.000 -2.294 -2.294 13.912" Properties=species:S:1:pos:R:3 pbc="T T T"
Ba 0.000 2.294 6.956
Bi -1.147 -1.304 10.434
Ba 0.000 0.000 0.000
Bi 3.598 1.147 3.478
Br 2.294 0.000 6.956
Br 2.294 2.294 0.000
Bi 0.990 3.441 3.478
Bi 1.147 1.304 10.434
```

Calculated values
For the formation energy without anion corrections, the calculation gives -0.9795 eV per atom. The density of states at the Fermi level comes out at 3.8 states/eV per cell. The space group is I-42d (122). As for the crystal system: tetragonal. As for the size of the total moment: 0.000 μB per atom.



VASP calculation (SCAN) on a PBEsol-optimized structure of TbLuIr2.

Geometry as extended XYZ:
```
4
Lattice="-4.090 -0.286 2.370 -4.096 -0.239 -2.366 -2.481 -4.034 -0.037" Properties=species:S:1:pos:R:3 pbc="T T T"
Lu -5.334 -2.279 -0.017
Tb 0.000 0.000 0.000
Ir -8.001 -3.419 -0.025
Ir -2.667 -1.140 -0.008
```

Calculated values
The density of states at the Fermi level comes out at 1.4 states/eV per cell. The value obtained for the formation energy is -1.0572 eV per atom. The space group is Fm-3m (225). As for the crystal system: cubic. As for the size of the total moment: 0.000 μB per atom.



Number 1: calculated volume 291 Å³/cell. Number 2: calculated volume 116 Å³/cell. Number 3: calculated volume 92 Å³/cell. Number 4: calculated volume 126 Å³/cell. Number 5: calculated volume 293 Å³/cell. Number 6: calculated volume 75 Å³/cell.